This record from Alexandria via LeMat-Bulk describes an optimized crystal structure of Ba6Pd2PtBr3. The functional is PBE-GGA.

## Properties
energy relative to the elements, uncorrected	-1.17	eV per atom
crystal system	monoclinic

Cell lengths 7.9511, 13.7702, 8.7716 Å; angles 90.00, 107.58, 90.00 degrees
Space group C2/m (No. 12)
Asymmetric unit:
Ba1 0.2359 0.1644 0.2144 x8
Ba2 0.2428 0.5000 0.2148 x4
Pd1 0.0000 0.3335 0.0000 x4
Pt1 0.0000 0.0000 0.0000 x2
Br1 0.0000 0.1678 0.5000 x4
Br2 0.0000 0.5000 0.5000 x2